PBE KTl2Cr, relaxed; E = -3.477 eV/atom; energy above the lowest structure with this stoichiometry = 100.2 meV per atom; calculated formation energy = 0.39 eV per atom
1.0
3.4516 0.0000 0.0000
0.0000 4.5131 0.0000
0.0000 0.0000 16.1119
K Tl Cr
2 4 2
Cartesian
0.0000 0.0000 0.0000
1.7258 2.2566 8.0559
0.0000 0.0000 10.4409
0.0000 2.2566 13.0298
1.7258 0.0000 4.9738
1.7258 2.2566 2.3849
0.0000 2.2566 4.7749
1.7258 0.0000 12.8308